[1]
Density functional theory data (GGA-PBE) for an optimized crystal structure of Er5Te2C2.

```
Er5Te2C2
1.0
-6.314 0.281 4.062
-2.824 -4.541 -4.075
7.555 -4.291 5.092
Er Te C
10 4 4
direct
0.235 0.718 0.958
0.765 0.760 0.042
0.223 0.218 0.958
0.777 0.260 0.042
0.199 0.104 0.277
0.801 0.828 0.723
0.578 0.604 0.277
0.422 0.328 0.723
0.094 0.622 0.500
0.906 0.122 0.500
0.150 0.615 0.217
0.850 0.398 0.783
0.567 0.115 0.217
0.433 0.898 0.783
0.000 0.998 0.000
0.500 0.498 0.000
0.169 0.293 0.500
0.831 0.793 0.500
```

Calculated values
For the formation energy from raw total energies, the calculation gives -0.59 eV per atom.

=====

[2]
Density functional theory data (GGA-PBE) for an optimized crystal structure of MnHRu2Cl.

```
MnHRu2Cl
1.0
-1.422 4.260 -1.005
-1.063 -0.980 -2.650
-4.066 -0.894 1.961
Ru Mn H Cl
2 1 1 1
direct
0.000 0.000 0.500
0.500 0.000 0.000
0.500 0.500 0.500
0.000 0.500 0.000
0.000 0.000 0.000
```

Calculated values
The uncorrected energy is -28.0 eV for the cell shown.

=====

[3]
Density functional theory data (GGA-PBE) for an optimized crystal structure of Cr2ReOs.

```
Cr2ReOs
1.0
4.925 0.002 -0.003
2.113 4.449 0.003
-3.019 -3.017 2.459
Cr Os Re
2 1 1
direct
0.990 0.990 0.000
0.510 0.510 0.000
0.250 0.750 0.500
0.750 0.250 0.500
```

Calculated values
As for the formation energy from the elements: 206 meV/atom.

=====

[4]
Density functional theory data (GGA-PBE) for an optimized crystal structure of Ca2InCo2.

```
Ca2InCo2
1.0
-0.331 6.205 2.638
-5.915 1.001 -3.096
-2.170 -1.651 3.611
Ca Co In
4 4 2
direct
0.176 0.676 0.500
0.676 0.824 0.500
0.824 0.324 0.500
0.324 0.176 0.500
0.383 0.883 0.000
0.883 0.617 0.000
0.617 0.117 0.000
0.117 0.383 0.000
0.000 0.000 0.000
0.500 0.500 0.000
```

Calculated values
As for the formation energy from the elements: 26 meV/atom.

=====

[5]
Density functional theory data (GGA-PBE) for an optimized crystal structure of K12HgAu5.

```
K12HgAu5
1.0
-9.724 -2.194 -0.100
4.690 -4.373 -7.633
4.854 -3.396 8.017
K Hg Au
12 1 5
direct
0.547 0.825 0.723
0.453 0.175 0.277
0.898 0.175 0.723
0.102 0.825 0.277
0.694 0.670 0.363
0.306 0.330 0.637
0.306 0.670 0.976
0.694 0.330 0.024
0.804 0.575 0.771
0.196 0.425 0.229
0.196 0.967 0.771
0.804 0.033 0.229
0.000 0.500 0.500
0.638 0.638 0.000
0.362 0.362 0.000
0.500 0.116 0.616
0.500 0.884 0.384
0.000 0.000 0.000
```

Calculated values
As for the formation energy from the elements: -212 meV/atom.

=====

[6]
Density functional theory data (GGA-PBE) for an optimized crystal structure of LiPr2Cl2O2.

```
LiPr2Cl2O2
1.0
4.051 0.000 0.000
-2.026 3.508 0.000
0.000 0.000 11.573
Li Pr Cl O
1 2 2 2
direct
0.000 0.000 0.000
0.667 0.333 0.376
0.333 0.667 0.624
0.000 0.000 0.791
0.000 0.000 0.209
0.667 0.333 0.582
0.333 0.667 0.418
```

Calculated values
For the formation energy from raw total energies, the calculation gives -2.48 eV per atom.

=====

[7]
Density functional theory data (GGA-PBE) for an optimized crystal structure of Ca2TlSnHg4.

```
Ca2TlSnHg4
1.0
5.287 0.000 0.000
2.643 4.579 0.000
2.643 1.526 8.607
Ca Tl Sn Hg
2 1 1 4
direct
0.751 0.751 0.748
0.249 0.249 0.252
0.000 0.000 0.000
0.500 0.500 0.500
0.375 0.375 0.875
0.875 0.875 0.374
0.125 0.125 0.626
0.625 0.625 0.125
```

Calculated values
As for the formation energy from the elements: -357 meV/atom.

=====

[8]
Density functional theory data (GGA-PBE) for an optimized crystal structure of La5HgPb6.

```
La5HgPb6
1.0
-0.497 -4.998 0.491
8.599 -0.441 4.212
-7.392 3.731 4.574
Pb Hg La
6 1 5
direct
0.171 0.424 0.341
0.171 0.917 0.341
0.500 0.263 0.000
0.500 0.737 0.000
0.829 0.083 0.659
0.829 0.576 0.659
0.000 0.000 0.000
0.358 0.858 0.715
0.670 0.670 0.340
0.000 0.500 0.000
0.330 0.330 0.660
0.642 0.142 0.285
```

Calculated values
As for the formation energy from the elements: -536 meV/atom.

=====

no.,spin magnetization (μB/cell)
1,0.0
2,3.1
3,0.0
4,0.0
5,0.0
6,0.6
7,0.0
8,0.0